Record 1
TlWCl2 | PBE | relaxed

It has space group Pmm2 (No. 25), with a = 2.9975 Å, b = 4.0479 Å, c = 7.3342 Å, α = 90.00°, β = 90.00° and γ = 90.00°. The asymmetric unit holds Tl at (0.0000, 0.0000, 0.0000), W at (0.5000, 0.5000, 0.3383), Cl at (0.0000, 0.0000, 0.4153) and Cl at (0.5000, 0.5000, 0.6597).

Its spin magnetization is 0.00 μB/f.u. The calculation puts the energy relative to the elements, uncorrected at 0.341 eV per atom. As for the crystal system: orthorhombic. The density of states at the Fermi level comes out at 2.53 states/eV/cell.

=====

Record 2
Li2Pu2Br2Cl5 | PBE | relaxed

It has space group I4/mmm (No. 139), with a = 5.5959 Å, b = 5.5959 Å, c = 22.1286 Å, α = 90.00°, β = 90.00° and γ = 90.00°. The asymmetric unit holds Li at (0.0000, 0.0000, 0.1394), Pu at (0.0000, 0.0000, 0.3756), Br at (0.0000, 0.0000, 0.2482), Cl at (0.0000, 0.0000, 0.5000) and Cl at (0.0000, 0.5000, 0.1152).

Its spin magnetization is 11.00 μB/f.u. The calculation puts the energy relative to the elements, uncorrected at -1.638 eV per atom. As for the crystal system: tetragonal. The density of states at the Fermi level comes out at 61.90 states/eV/cell.